(1)
Here is a relaxed structure of Pa2FeTe3 from Alexandria via LeMat-Bulk. Energies are from PBE.

Computed properties:
Its energy relative to the elements, uncorrected is -0.66 eV/atom. Its symmetry is Pnma, No. 62. As for the crystal system: orthorhombic. The theoretical density is 9.222 Mg/m³.

extended XYZ file:
```
24
Lattice="-3.776 1.929 1.032 1.757 -2.612 11.311 6.058 11.002 1.600" Properties=species:S:1:pos:R:3 pbc="T T T"
Te 0.244 0.497 4.577
Te -0.546 4.472 3.485
Te 2.854 6.621 2.679
Te 4.745 10.317 2.690
Te -0.706 0.002 11.252
Te 2.293 3.957 5.606
Te 3.794 9.822 9.365
Te 1.360 0.638 8.396
Te 1.185 3.698 11.264
Te 2.679 9.681 5.546
Te 1.746 6.362 8.337
Te 4.585 5.847 10.458
Pa -0.493 2.959 6.504
Pa 4.532 7.360 7.439
Pa 2.281 0.703 11.645
Pa 2.841 3.416 8.622
Pa 1.198 6.903 5.320
Pa -2.081 1.773 2.914
Pa 1.758 9.616 2.298
Pa 6.119 8.546 11.029
Fe 3.990 7.404 5.372
Fe 3.434 7.887 11.663
Fe 0.604 2.432 2.279
Fe 0.049 2.915 8.571
```

---

(2)
Here is a relaxed structure of PaFeTe2 from Alexandria via LeMat-Bulk. Energies are from PBE.

Computed properties:
Its energy relative to the elements, uncorrected is -0.50 eV/atom. Its symmetry is Imm2, No. 44. As for the crystal system: orthorhombic. The theoretical density is 9.369 Mg/m³.

extended XYZ file:
```
4
Lattice="-2.957 -2.494 -0.970 2.072 -3.452 2.560 -2.140 4.448 3.285" Properties=species:S:1:pos:R:3 pbc="T T T"
Fe -0.997 -5.760 1.452
Te -2.251 -0.878 0.922
Te -0.642 -0.840 4.117
Pa 1.028 -1.713 1.270
```

---

(3)
Here is a relaxed structure of PaFeTe from Alexandria via LeMat-Bulk. Energies are from PBE.

Computed properties:
Its energy relative to the elements, uncorrected is -0.36 eV/atom. Its symmetry is F-43m, No. 216. As for the crystal system: cubic. The theoretical density is 10.767 Mg/m³.

extended XYZ file:
```
3
Lattice="4.488 0.000 0.000 2.244 3.887 0.000 2.244 1.296 3.664" Properties=species:S:1:pos:R:3 pbc="T T T"
Te 4.488 2.591 1.832
Fe 2.244 1.296 0.916
Pa 0.000 0.000 0.000
```

---

Repeat the third record exactly.
Here is a relaxed structure of PaFeTe from Alexandria via LeMat-Bulk. Energies are from PBE.

Computed properties:
Its energy relative to the elements, uncorrected is -0.36 eV/atom. Its symmetry is F-43m, No. 216. As for the crystal system: cubic. The theoretical density is 10.767 Mg/m³.

extended XYZ file:
```
3
Lattice="4.488 0.000 0.000 2.244 3.887 0.000 2.244 1.296 3.664" Properties=species:S:1:pos:R:3 pbc="T T T"
Te 4.488 2.591 1.832
Fe 2.244 1.296 0.916
Pa 0.000 0.000 0.000
```